The following is a PBEsol calculation of a relaxed Sr2MnCu2S2O2 crystal, from Alexandria.

Structure (CIF):
```
data_Sr2MnCu2S2O2
_chemical_formula_sum 'Sr4 Mn2 Cu4 S4 O4'
_symmetry_space_group_name_H-M 'I 4/m m m'
_symmetry_Int_Tables_number 139
_symmetry_space_group_name_Hall '-I 4 2'
_cell_length_a 3.9275
_cell_length_b 3.9275
_cell_length_c 17.6552
_cell_angle_alpha 90.00
_cell_angle_beta 90.00
_cell_angle_gamma 90.00
loop_
_atom_site_label
_atom_site_type_symbol
_atom_site_fract_x
_atom_site_fract_y
_atom_site_fract_z
Sr1 Sr 0.0000 0.0000 0.0943
Mn1 Mn 0.0000 0.0000 0.5000
Cu1 Cu 0.0000 0.5000 0.2500
S1 S 0.0000 0.0000 0.3273
O1 O 0.0000 0.5000 0.0000
```

Results
E: -6.07 eV per atom
Raw formation energy: -1.472 eV per atom
Crystal system: tetragonal
Total magnetization: 7.93 μB per cell
DOS(E_F): 3.04 states/eV/f.u.